! PmHfTe PBE relaxed; values from VASP
&SYSTEM
  ibrav = 0, nat = 6, ntyp = 3
/
ATOMIC_SPECIES
Pm 145.00 Pm.upf
Hf 178.49 Hf.upf
Te 127.60 Te.upf
ATOMIC_POSITIONS angstrom
Pm 0.919 1.418 0.420
Pm 2.758 4.255 7.928
Hf 0.919 4.255 2.526
Hf 2.758 1.418 5.822
Te 0.919 1.418 3.537
Te 2.758 4.255 4.811
CELL_PARAMETERS angstrom
3.677 0.000 0.000
0.000 5.673 0.000
0.000 0.000 8.349
! Crystal system: orthorhombic
! Fermi-level density of states, states/eV/cell: 6.5
! Calculated density, g/cm³: 8.6
! Formation energy (no corrections), eV/atom: -0.24
! Raw total energy, eV per atom: -6.192
! Symmetry: Pmmn

! PmHfTe2 PBE relaxed; values from VASP
&SYSTEM
  ibrav = 0, nat = 4, ntyp = 3
/
ATOMIC_SPECIES
Pm 145.00 Pm.upf
Hf 178.49 Hf.upf
Te 127.60 Te.upf
ATOMIC_POSITIONS angstrom
Pm 0.000 0.000 0.000
Hf 0.000 0.000 14.839
Te 0.000 0.000 3.145
Te 0.000 0.000 26.533
CELL_PARAMETERS angstrom
1.958 1.130 9.893
-1.958 1.130 9.893
0.000 -2.261 9.893
! Crystal system: trigonal
! Fermi-level density of states, states/eV/cell: 4.0
! Calculated density, g/cm³: 7.3
! Formation energy (no corrections), eV/atom: -0.56
! Raw total energy, eV per atom: -5.807
! Symmetry: R-3m

! Pm2HfTl3Te6 PBE relaxed; values from VASP
&SYSTEM
  ibrav = 0, nat = 12, ntyp = 4
/
ATOMIC_SPECIES
Pm 145.00 Pm.upf
Hf 178.49 Hf.upf
Tl 204.38 Tl.upf
Te 127.60 Te.upf
ATOMIC_POSITIONS angstrom
Pm 3.806 4.402 0.000
Pm 3.806 -4.402 0.000
Hf 3.806 0.000 0.000
Tl -1.267 0.000 4.123
Tl 2.539 2.292 4.123
Tl 2.539 -2.292 4.123
Te 0.090 2.048 6.493
Te 1.446 0.000 1.805
Te 0.090 -2.048 6.493
Te 4.989 2.048 1.753
Te 3.632 0.000 6.441
Te 4.989 -2.048 1.753
CELL_PARAMETERS angstrom
3.806 -6.578 0.000
3.806 6.578 0.000
-2.534 0.000 8.247
! Crystal system: monoclinic
! Fermi-level density of states, states/eV/cell: 5.0
! Calculated density, g/cm³: 7.4
! Formation energy (no corrections), eV/atom: -0.88
! Raw total energy, eV per atom: -4.663
! Symmetry: C2/m

! Pm2HfTh PBE relaxed; values from VASP
&SYSTEM
  ibrav = 0, nat = 4, ntyp = 3
/
ATOMIC_SPECIES
Pm 145.00 Pm.upf
Hf 178.49 Hf.upf
Th 232.04 Th.upf
ATOMIC_POSITIONS angstrom
Pm 0.000 0.000 3.134
Pm 0.000 0.000 33.090
Hf 0.000 0.000 0.000
Th 0.000 0.000 18.112
CELL_PARAMETERS angstrom
1.711 0.988 12.075
-1.711 0.988 12.075
0.000 -1.975 12.075
! Crystal system: trigonal
! Fermi-level density of states, states/eV/cell: 6.0
! Calculated density, g/cm³: 9.5
! Raw total energy, eV per atom: -6.323
! Energy relative to the elements, eV per atom: 0.395
! Symmetry: R-3m

! PmHf2Th PBE relaxed; values from VASP
&SYSTEM
  ibrav = 0, nat = 4, ntyp = 3
/
ATOMIC_SPECIES
Pm 145.00 Pm.upf
Hf 178.49 Hf.upf
Th 232.04 Th.upf
ATOMIC_POSITIONS angstrom
Pm 0.000 0.000 0.000
Hf 1.977 1.977 2.023
Hf 1.977 1.977 5.070
Th 0.000 0.000 3.547
CELL_PARAMETERS angstrom
3.954 0.000 0.000
0.000 3.954 0.000
0.000 0.000 7.093
! Crystal system: tetragonal
! Fermi-level density of states, states/eV/cell: 4.6
! Calculated density, g/cm³: 11.0
! Raw total energy, eV per atom: -7.808
! Energy relative to the elements, eV per atom: 0.211
! Symmetry: P4/mmm

! Pm2HfTh PBE relaxed; values from VASP
&SYSTEM
  ibrav = 0, nat = 4, ntyp = 3
/
ATOMIC_SPECIES
Pm 145.00 Pm.upf
Hf 178.49 Hf.upf
Th 232.04 Th.upf
ATOMIC_POSITIONS angstrom
Pm 0.000 2.435 0.000
Pm 2.435 0.000 0.000
Hf 0.000 0.000 2.540
Th 2.435 2.435 2.540
CELL_PARAMETERS angstrom
4.871 0.000 0.000
0.000 4.871 0.000
0.000 0.000 5.080
! Crystal system: tetragonal
! Fermi-level density of states, states/eV/cell: 5.2
! Calculated density, g/cm³: 9.7
! Raw total energy, eV per atom: -6.537
! Energy relative to the elements, eV per atom: 0.182
! Symmetry: P4/mmm

! PmHf2Th PBE relaxed; values from VASP
&SYSTEM
  ibrav = 0, nat = 4, ntyp = 3
/
ATOMIC_SPECIES
Pm 145.00 Pm.upf
Hf 178.49 Hf.upf
Th 232.04 Th.upf
ATOMIC_POSITIONS angstrom
Pm 0.000 0.000 0.000
Hf 0.000 2.384 2.388
Hf 2.384 0.000 2.388
Th 2.384 2.384 0.000
CELL_PARAMETERS angstrom
4.768 0.000 0.000
0.000 4.768 0.000
0.000 0.000 4.777
! Crystal system: tetragonal
! Fermi-level density of states, states/eV/cell: 6.0
! Calculated density, g/cm³: 11.2
! Raw total energy, eV per atom: -7.797
! Energy relative to the elements, eV per atom: 0.222
! Symmetry: P4/mmm

! PmTmHfTh PBE relaxed; values from VASP
&SYSTEM
  ibrav = 0, nat = 4, ntyp = 4
/
ATOMIC_SPECIES
Pm 145.00 Pm.upf
Tm 168.93 Tm.upf
Hf 178.49 Hf.upf
Th 232.04 Th.upf
ATOMIC_POSITIONS angstrom
Pm 0.000 0.000 0.000
Tm 1.936 1.936 1.936
Hf 5.809 5.809 5.809
Th 3.873 3.873 3.873
CELL_PARAMETERS angstrom
0.000 3.873 3.873
3.873 0.000 3.873
3.873 3.873 0.000
! Crystal system: cubic
! Fermi-level density of states, states/eV/cell: 5.1
! Calculated density, g/cm³: 10.4
! Raw total energy, eV per atom: -6.453
! Energy relative to the elements, eV per atom: 0.196
! Symmetry: F-43m

! Pm12HfTl3 PBE relaxed; values from VASP
&SYSTEM
  ibrav = 0, nat = 16, ntyp = 3
/
ATOMIC_SPECIES
Pm 145.00 Pm.upf
Hf 178.49 Hf.upf
Tl 204.38 Tl.upf
ATOMIC_POSITIONS angstrom
Pm 0.000 0.000 0.000
Pm 0.000 0.000 5.020
Pm 0.000 0.000 10.041
Pm 0.000 0.000 15.062
Pm 0.000 2.472 2.459
Pm 0.000 2.472 7.526
Pm 0.000 2.472 12.556
Pm 0.000 2.472 17.623
Pm 2.472 0.000 2.459
Pm 2.472 0.000 7.526
Pm 2.472 0.000 12.556
Pm 2.472 0.000 17.623
Hf 2.472 2.472 0.000
Tl 2.472 2.472 5.085
Tl 2.472 2.472 10.041
Tl 2.472 2.472 14.997
CELL_PARAMETERS angstrom
4.944 0.000 0.000
0.000 4.944 0.000
0.000 0.000 20.082
! Crystal system: tetragonal
! Fermi-level density of states, states/eV/cell: 22.2
! Calculated density, g/cm³: 8.6
! Raw total energy, eV per atom: -4.739
! Energy relative to the elements, eV per atom: -0.110
! Symmetry: P4/mmm

! Pm2HfTl PBE relaxed; values from VASP
&SYSTEM
  ibrav = 0, nat = 4, ntyp = 3
/
ATOMIC_SPECIES
Pm 145.00 Pm.upf
Hf 178.49 Hf.upf
Tl 204.38 Tl.upf
ATOMIC_POSITIONS angstrom
Pm 0.000 2.382 0.000
Pm 2.382 0.000 0.000
Hf 0.000 0.000 2.400
Tl 2.382 2.382 2.400
CELL_PARAMETERS angstrom
4.765 0.000 0.000
0.000 4.765 0.000
0.000 0.000 4.800
! Crystal system: tetragonal
! Fermi-level density of states, states/eV/cell: 4.3
! Calculated density, g/cm³: 10.3
! Raw total energy, eV per atom: -5.462
! Energy relative to the elements, eV per atom: -0.007
! Symmetry: P4/mmm

! Pm2HfTl PBE relaxed; values from VASP
&SYSTEM
  ibrav = 0, nat = 4, ntyp = 3
/
ATOMIC_SPECIES
Pm 145.00 Pm.upf
Hf 178.49 Hf.upf
Tl 204.38 Tl.upf
ATOMIC_POSITIONS angstrom
Pm 0.000 0.000 3.172
Pm 0.000 0.000 32.866
Hf 0.000 0.000 0.000
Tl 0.000 0.000 18.019
CELL_PARAMETERS angstrom
1.664 0.961 12.013
-1.664 0.961 12.013
0.000 -1.921 12.013
! Crystal system: trigonal
! Fermi-level density of states, states/eV/cell: 5.9
! Calculated density, g/cm³: 9.7
! Raw total energy, eV per atom: -5.146
! Energy relative to the elements, eV per atom: 0.309
! Symmetry: R-3m

! Pm2HfTl PBE relaxed; values from VASP
&SYSTEM
  ibrav = 0, nat = 4, ntyp = 3
/
ATOMIC_SPECIES
Pm 145.00 Pm.upf
Hf 178.49 Hf.upf
Tl 204.38 Tl.upf
ATOMIC_POSITIONS angstrom
Pm 0.000 0.000 2.400
Pm 0.000 0.000 7.285
Hf 1.715 1.715 0.000
Tl 1.715 1.715 4.842
CELL_PARAMETERS angstrom
3.429 0.000 0.000
0.000 3.429 0.000
0.000 0.000 9.684
! Crystal system: tetragonal
! Fermi-level density of states, states/eV/cell: 4.2
! Calculated density, g/cm³: 9.8
! Raw total energy, eV per atom: -5.499
! Energy relative to the elements, eV per atom: -0.044
! Symmetry: P4/mmm

Q: Which value of Fermi-level density of states does entry 11 give?
A: 5.9 states/eV/cell